Here is a relaxed structure of Sr2GaNiO4 from Alexandria. Energies are from PBE with a Hubbard U.

- total DFT energy (no corrections) (eV per atom) = -5.5266
- volume (Å³/atom) = 14.49

Geometry as POSCAR:
```
Sr2GaNiO4
1.0
-2.9983 2.9983 3.2238
2.9983 -2.9983 3.2238
2.9983 2.9983 -3.2238
Sr Ga Ni O
2 1 1 4
direct
0.0000 0.0000 0.0000
0.7500 0.2500 0.5000
0.2500 0.7500 0.5000
0.5000 0.5000 0.0000
0.2573 0.7166 0.1372
0.2834 0.4206 0.5406
0.5794 0.1200 0.8628
0.8800 0.7427 0.4594
```